(1)
Density functional theory data (PBE) for a relaxed TmPbS2 crystal.

Output
The electronic total energy comes out at -5.16 eV/atom.

Structure (POSCAR):
```
TmPbS2
1.0
4.045 0.000 0.000
0.000 4.045 0.000
0.000 0.000 5.748
Tm Pb S
1 1 2
direct
0.000 0.000 0.000 Tm
0.500 0.500 0.500 Pb
0.000 0.000 0.500 S
0.500 0.500 0.000 S
```

(2)
Density functional theory data (PBE) for a relaxed LiZr3Sb5 crystal.

Output
The electronic total energy comes out at -5.63 eV/atom.

Structure (POSCAR):
```
LiZr3Sb5
1.0
6.345 0.000 0.000
-3.172 5.495 0.000
0.000 0.000 7.296
Li Zr Sb
1 3 5
direct
0.000 0.000 0.000 Li
0.000 0.500 0.500 Zr
0.500 0.000 0.500 Zr
0.500 0.500 0.500 Zr
0.000 0.000 0.500 Sb
0.333 0.667 0.194 Sb
0.333 0.667 0.806 Sb
0.667 0.333 0.194 Sb
0.667 0.333 0.806 Sb
```

Question: What is the formula in the second record?
Answer: LiZr3Sb5

Question: Which of these has the highest electronic total energy?
Answer: TmPbS2